First-principles (PBE-GGA) data for a geometry-optimized La2YIn structure, as listed in Alexandria via LeMat-Bulk.

Lattice parameters (Å, degrees): 11.7838 11.7838 11.7838 17.81 17.81 17.81
With the nearest neighbours (Å) after each atom.
Sites, in units of the cell vectors:
La: 0.2476 0.2476 0.2476  3 In 3.52, 6 La 3.65, 3 Y 3.65
La: 0.7524 0.7524 0.7524  3 In 3.52, 6 La 3.65, 3 Y 3.65
Y: 0.0000 0.0000 0.0000  6 Y 3.65, 6 La 3.65
In: 0.5000 0.5000 0.5000  6 La 3.52, 6 In 3.65

Values from the calculation:
Calculated formation energy ... -0.098 eV per atom
Total DFT energy (no corrections) ... -19.45 eV/f.u.